DFT (GGA-PBE) results for a geometry-optimized MnTlCuTe2 structure.

Properties
- V: 29.28 Å³ per atom
- Uncorrected formation energy: -0.077 eV/atom

Structure (CIF):
```
data_MnTlCuTe2
_chemical_formula_sum 'Mn2 Tl2 Cu2 Te4'
_space_group_name_H-M_alt 'P 1 2/c 1'
_space_group_IT_number 13
_cell_length_a 8.198
_cell_length_b 6.127
_cell_length_c 6.271
_cell_angle_alpha 90.00
_cell_angle_beta 111.63
_cell_angle_gamma 90.00
loop_
_space_group_symop_operation_xyz
'x,y,z'
'-x,-y,-z'
'-x,y,-z+1/2'
'x,-y,z+1/2'
loop_
_atom_site_label
_atom_site_fract_x
_atom_site_fract_y
_atom_site_fract_z
_atom_site_occupancy
Mn1 0.000 0.010 0.250 1
Tl1 0.500 0.275 0.250 1
Cu1 0.000 0.500 0.000 1
Te1 0.238 0.227 0.621 1
```



DFT (GGA-PBE) results for a geometry-optimized RbP2IrS8 structure.

Properties
- V: 24.58 Å³ per atom
- Uncorrected formation energy: -0.285 eV/atom

Structure (CIF):
```
data_RbP2IrS8
_chemical_formula_sum 'Rb1 P2 Ir1 S8'
_space_group_name_H-M_alt 'P -3'
_space_group_IT_number 147
_cell_length_a 5.8425
_cell_length_b 5.8425
_cell_length_c 9.9762
_cell_angle_alpha 90.00
_cell_angle_beta 90.00
_cell_angle_gamma 120.00
loop_
_space_group_symop_operation_xyz
'x,y,z'
'-x,-y,-z'
'-y,x-y,z'
'y,-x+y,-z'
'-x+y,-x,z'
'x-y,x,-z'
loop_
_atom_site_label
_atom_site_fract_x
_atom_site_fract_y
_atom_site_fract_z
_atom_site_occupancy
Rb1 0.0000 0.0000 0.0000 1
P1 0.3333 0.6667 0.6966 1
Ir1 0.0000 0.0000 0.5000 1
S1 0.0158 0.6754 0.3632 1
S2 0.3333 0.6667 0.8965 1
```



DFT (GGA-PBE) results for a geometry-optimized HfBN structure.

Properties
- V: 11.06 Å³ per atom
- ΔE to the lowest computed polymorph: 0.227 eV/atom
- Uncorrected formation energy: -0.841 eV/atom

Structure (CIF):
```
data_HfBN
_chemical_formula_sum 'Hf4 B4 N4'
_space_group_name_H-M_alt 'A m a 2'
_space_group_IT_number 40
_cell_length_a 3.593
_cell_length_b 8.505
_cell_length_c 4.343
_cell_angle_alpha 90.00
_cell_angle_beta 90.00
_cell_angle_gamma 90.00
loop_
_space_group_symop_operation_xyz
'x,y,z'
'-x,-y,z'
'-x+1/2,y,z'
'x+1/2,-y,z'
'x,y+1/2,z+1/2'
'-x,-y+1/2,z+1/2'
'-x+1/2,y+1/2,z+1/2'
'x+1/2,-y+1/2,z+1/2'
loop_
_atom_site_label
_atom_site_fract_x
_atom_site_fract_y
_atom_site_fract_z
_atom_site_occupancy
Hf1 0.250 0.150 0.000 1
B1 0.250 0.435 0.087 1
N1 0.250 0.384 0.757 1
```



DFT (GGA-PBE) results for a geometry-optimized SrSbW2 structure.

Properties
- V: 23.07 Å³ per atom
- Uncorrected formation energy: 0.796 eV/atom

Structure (CIF):
```
data_SrSbW2
_chemical_formula_sum 'Sr2 Sb2 W4'
_space_group_name_H-M_alt 'I m m 2'
_space_group_IT_number 44
_cell_length_a 3.392
_cell_length_b 5.295
_cell_length_c 10.274
_cell_angle_alpha 90.00
_cell_angle_beta 90.00
_cell_angle_gamma 90.00
loop_
_space_group_symop_operation_xyz
'x,y,z'
'-x,-y,z'
'-x,y,z'
'x,-y,z'
'x+1/2,y+1/2,z+1/2'
'-x+1/2,-y+1/2,z+1/2'
'-x+1/2,y+1/2,z+1/2'
'x+1/2,-y+1/2,z+1/2'
loop_
_atom_site_label
_atom_site_fract_x
_atom_site_fract_y
_atom_site_fract_z
_atom_site_occupancy
Sr1 0.000 0.000 0.000 1
Sb1 0.000 0.500 0.214 1
W1 0.000 0.000 0.466 1
W2 0.000 0.500 0.788 1
```



DFT (GGA-PBE) results for a geometry-optimized Cd2TeO6 structure.

Properties
- V: 14.13 Å³ per atom
- Uncorrected formation energy: -0.743 eV/atom

Structure (CIF):
```
data_Cd2TeO6
_chemical_formula_sum 'Cd4 Te2 O12'
_space_group_name_H-M_alt 'P 42/m n m'
_space_group_IT_number 136
_space_group_name_Hall '-P 4n 2n'
_cell_length_a 5.033
_cell_length_b 5.033
_cell_length_c 10.039
_cell_angle_alpha 90.00
_cell_angle_beta 90.00
_cell_angle_gamma 90.00
loop_
_atom_site_label
_atom_site_fract_x
_atom_site_fract_y
_atom_site_fract_z
_atom_site_occupancy
Cd1 0.000 0.000 0.167 1
Te1 0.000 0.000 0.500 1
O1 0.182 0.182 0.356 1
O2 0.225 0.225 0.000 1
```



DFT (GGA-PBE) results for a geometry-optimized TmMgCd4 structure.

Properties
- V: 23.29 Å³ per atom
- Energy of formation: -0.14 eV per atom
- ΔE to the lowest computed polymorph: 0.060 eV/atom

Structure (CIF):
```
data_TmMgCd4
_chemical_formula_sum 'Tm2 Mg2 Cd8'
_space_group_name_H-M_alt 'C 1 2/m 1'
_space_group_IT_number 12
_cell_length_a 11.485
_cell_length_b 3.751
_cell_length_c 6.841
_cell_angle_alpha 90.00
_cell_angle_beta 108.55
_cell_angle_gamma 90.00
loop_
_space_group_symop_operation_xyz
'x,y,z'
'-x,-y,-z'
'-x,y,-z'
'x,-y,z'
'x+1/2,y+1/2,z'
'-x+1/2,-y+1/2,-z'
'-x+1/2,y+1/2,-z'
'x+1/2,-y+1/2,z'
loop_
_atom_site_label
_atom_site_fract_x
_atom_site_fract_y
_atom_site_fract_z
_atom_site_occupancy
Tm1 0.000 0.000 0.000 1
Mg1 0.000 0.000 0.500 1
Cd1 0.169 0.500 0.827 1
Cd2 0.173 0.500 0.341 1
```



DFT (GGA-PBE) results for a geometry-optimized SrSmP structure.

Properties
- V: 34.91 Å³ per atom
- Energy of formation: -0.64 eV per atom

Structure (CIF):
```
data_SrSmP
_chemical_formula_sum 'Sr2 Sm2 P2'
_space_group_name_H-M_alt 'P -6 m 2'
_space_group_IT_number 187
_space_group_name_Hall 'P -6 2'
_cell_length_a 4.1309
_cell_length_b 4.1309
_cell_length_c 14.1735
_cell_angle_alpha 90.00
_cell_angle_beta 90.00
_cell_angle_gamma 120.00
loop_
_atom_site_label
_atom_site_fract_x
_atom_site_fract_y
_atom_site_fract_z
_atom_site_occupancy
Sr1 0.0000 0.0000 0.1227 1
Sm1 0.6667 0.3333 0.3820 1
P1 0.0000 0.0000 0.5000 1
P2 0.6667 0.3333 0.0000 1
```



DFT (GGA-PBE) results for a geometry-optimized Tl2CoBr4 structure.

Properties
- V: 38.43 Å³ per atom
- Uncorrected formation energy: -0.610 eV/atom

Structure (CIF):
```
data_Tl2CoBr4
_chemical_formula_sum 'Tl4 Co2 Br8'
_space_group_name_H-M_alt 'P 1 21/m 1'
_space_group_IT_number 11
_cell_length_a 6.858
_cell_length_b 7.573
_cell_length_c 10.364
_cell_angle_alpha 90.00
_cell_angle_beta 91.97
_cell_angle_gamma 90.00
loop_
_space_group_symop_operation_xyz
'x,y,z'
'-x,-y,-z'
'-x,y+1/2,-z'
'x,-y+1/2,z'
loop_
_atom_site_label
_atom_site_fract_x
_atom_site_fract_y
_atom_site_fract_z
_atom_site_occupancy
Tl1 0.181 0.250 0.496 1
Tl2 0.188 0.250 0.008 1
Co1 0.183 0.750 0.254 1
Br1 0.034 0.501 0.752 1
Br2 0.340 0.750 0.461 1
Br3 0.344 0.750 0.055 1
```



Repeat the fifth record exactly.
DFT (GGA-PBE) results for a geometry-optimized Cd2TeO6 structure.

Properties
- V: 14.13 Å³ per atom
- Uncorrected formation energy: -0.743 eV/atom

Structure (CIF):
```
data_Cd2TeO6
_chemical_formula_sum 'Cd4 Te2 O12'
_space_group_name_H-M_alt 'P 42/m n m'
_space_group_IT_number 136
_space_group_name_Hall '-P 4n 2n'
_cell_length_a 5.033
_cell_length_b 5.033
_cell_length_c 10.039
_cell_angle_alpha 90.00
_cell_angle_beta 90.00
_cell_angle_gamma 90.00
loop_
_atom_site_label
_atom_site_fract_x
_atom_site_fract_y
_atom_site_fract_z
_atom_site_occupancy
Cd1 0.000 0.000 0.167 1
Te1 0.000 0.000 0.500 1
O1 0.182 0.182 0.356 1
O2 0.225 0.225 0.000 1
```



Q: Look up the V of the first one.
A: 29.28 Å³ per atom



Q: The lowest V belongs to which entry?
A: HfBN



Q: Look up the V of the fourth one.
A: 23.07 Å³ per atom